Entry 1:
# YNbTc2

A relaxed YNbTc2 crystal (PBE-GGA, the Alexandria database).

Unit cell a=3.272 b=3.272 c=6.826 alpha=90.00 beta=90.00 gamma=90.00
Fractional positions:
1 Y 0.500 0.500 0.500
2 Nb 0.500 0.500 0.000
3 Tc 0.000 0.000 0.782
4 Tc 0.000 0.000 0.218

Volume   18.3 Å³ per atom
E_form   -0.0819 eV/atom
Crystal system   tetragonal

---

Entry 2:
# LiSeCl2

A relaxed LiSeCl2 crystal (PBE-GGA, the Alexandria database).

Unit cell a=4.071 b=4.071 c=8.104 alpha=90.00 beta=90.00 gamma=133.75
Fractional positions:
1 Cl 0.000 0.000 0.035
2 Cl 0.000 0.000 0.465
3 Li 0.500 0.500 0.250
4 Se 0.500 0.500 0.750

Volume   24.3 Å³ per atom
Formation energy without anion corrections   -0.439 eV per atom
Crystal system   orthorhombic
Distance to the lowest polymorph of the same formula   34.83 kJ/mol of atoms

---

Entry 3:
# P2OsPdCl

A relaxed P2OsPdCl crystal (PBE-GGA, the Alexandria database).

Unit cell a=4.499 b=4.499 c=5.071 alpha=90.00 beta=90.00 gamma=90.00
Fractional positions:
1 P 0.000 0.500 0.000
2 P 0.500 0.000 0.000
3 Os 0.000 0.000 0.000
4 Pd 0.500 0.500 0.500
5 Cl 0.000 0.000 0.500

Volume   20.5 Å³ per atom
Formation energy without anion corrections   0.661 eV per atom
Crystal system   tetragonal
Distance to the lowest polymorph of the same formula   0.00 kJ/mol of atoms

---

Per-record raw total energy, eV/atom: -9.398, -2.712, -5.157